First-principles (GGA-PBE) data for a relaxed TaCrB2 crystal, as listed in Alexandria via LeMat-Bulk.

extended XYZ file:
```
4
Lattice="1.5592 0.9002 5.0277 -1.5592 0.9002 5.0277 0.0000 -1.8004 5.0277" Properties=species:S:1:pos:R:3 pbc="T T T"
Ta 0.0000 0.0000 0.0000
Cr 0.0000 0.0000 7.5415
B 0.0000 0.0000 3.6339
B 0.0000 0.0000 11.4491
```

Properties
total energy = -36.08 eV per cell
D(E_F) = 1.5 states/eV/f.u.
formation energy = -0.31 eV per atom